The following is a GGA-PBE calculation of an optimized crystal structure of CsInSn2, from Alexandria via LeMat-Bulk.

Cell lengths 4.936, 4.936, 8.005 Å; angles 72.04, 72.04, 60.00 degrees
Fractional positions:
Cs 0.000 0.000 0.000
Sn 0.787 0.787 0.640
Sn 0.213 0.213 0.360
In 0.500 0.500 0.500

Calculated values
Density of states at the Fermi level ... 1.944 states/eV/cell
Formation energy ... -0.054 eV/atom
Electronic total energy ... -2.95 eV/atom